## KTeI2Cl (GGA-PBE)

Data for a relaxed structure of KTeI2Cl.

CIF file:
```
data_KTeI2Cl
_cell_length_a 6.259
_cell_length_b 6.259
_cell_length_c 5.463
_cell_angle_alpha 90.00
_cell_angle_beta 90.00
_cell_angle_gamma 90.00
_symmetry_space_group_name_H-M 'P 4/m m m'
_symmetry_Int_Tables_number 123
_symmetry_space_group_name_Hall '-P 4 2'
loop_
_atom_site_label
_atom_site_fract_x
_atom_site_fract_y
_atom_site_fract_z
K1 0.000 0.000 0.000
Te1 0.500 0.500 0.500
I1 0.000 0.500 0.500
Cl1 0.500 0.500 0.000
```

Summary:
M_tot in Bohr magnetons per cell: 0.0
Uncorrected formation energy in meV/atom: -669
Theoretical density in g cm⁻³: 3.5
Energy above the lowest structure with this stoichiometry in kJ/mol of formula units: 0.0

***

## Y3Rh (GGA-PBE)

Data for a relaxed structure of Y3Rh.

CIF file:
```
data_Y3Rh
_cell_length_a 3.653
_cell_length_b 10.828
_cell_length_c 5.343
_cell_angle_alpha 90.00
_cell_angle_beta 90.00
_cell_angle_gamma 90.00
_symmetry_space_group_name_H-M 'I m m 2'
_symmetry_Int_Tables_number 44
loop_
_symmetry_equiv_pos_as_xyz
'x,y,z'
'-x,-y,z'
'-x,y,z'
'x,-y,z'
'x+1/2,y+1/2,z+1/2'
'-x+1/2,-y+1/2,z+1/2'
'-x+1/2,y+1/2,z+1/2'
'x+1/2,-y+1/2,z+1/2'
loop_
_atom_site_label
_atom_site_fract_x
_atom_site_fract_y
_atom_site_fract_z
Y1 0.000 0.000 0.000
Y2 0.000 0.198 0.500
Rh1 0.000 0.500 0.001
```

Summary:
M_tot in Bohr magnetons per cell: 0.0
Energy of formation in meV/atom: -433
Theoretical density in g cm⁻³: 5.8

***

## Al2V (GGA-PBE)

Data for a relaxed structure of Al2V.

CIF file:
```
data_Al2V
_cell_length_a 9.366
_cell_length_b 3.423
_cell_length_c 5.783
_cell_angle_alpha 90.00
_cell_angle_beta 105.44
_cell_angle_gamma 90.00
_symmetry_space_group_name_H-M 'C 1 2/m 1'
_symmetry_Int_Tables_number 12
loop_
_symmetry_equiv_pos_as_xyz
'x,y,z'
'-x,-y,-z'
'-x,y,-z'
'x,-y,z'
'x+1/2,y+1/2,z'
'-x+1/2,-y+1/2,-z'
'-x+1/2,y+1/2,-z'
'x+1/2,-y+1/2,z'
loop_
_atom_site_label
_atom_site_fract_x
_atom_site_fract_y
_atom_site_fract_z
Al1 0.005 0.000 0.270
Al2 0.171 0.500 0.086
V1 0.178 0.500 0.586
```

Summary:
M_tot in Bohr magnetons per cell: 0.0
Energy of formation in meV/atom: -166
Theoretical density in g cm⁻³: 3.9

***

## Ca2MnMo (GGA-PBE)

Data for a relaxed structure of Ca2MnMo.

CIF file:
```
data_Ca2MnMo
_cell_length_a 6.921
_cell_length_b 3.994
_cell_length_c 8.454
_cell_angle_alpha 90.00
_cell_angle_beta 105.76
_cell_angle_gamma 90.00
_symmetry_space_group_name_H-M 'C 1 m 1'
_symmetry_Int_Tables_number 8
loop_
_symmetry_equiv_pos_as_xyz
'x,y,z'
'x,-y,z'
'x+1/2,y+1/2,z'
'x+1/2,-y+1/2,z'
loop_
_atom_site_label
_atom_site_fract_x
_atom_site_fract_y
_atom_site_fract_z
Ca1 0.000 0.000 0.000
Ca2 0.183 0.000 0.551
Mn1 0.425 0.000 0.275
Mo1 0.258 0.500 0.276
```

Summary:
M_tot in Bohr magnetons per cell: 3.0
Energy of formation in meV/atom: 395
Theoretical density in g cm⁻³: 3.4
Energy above the lowest structure with this stoichiometry in kJ/mol of formula units: 10.9

***

## InGaSnSb (GGA-PBE)

Data for a relaxed structure of InGaSnSb.

CIF file:
```
data_InGaSnSb
_cell_length_a 7.488
_cell_length_b 7.488
_cell_length_c 7.488
_cell_angle_alpha 90.00
_cell_angle_beta 90.00
_cell_angle_gamma 90.00
_symmetry_space_group_name_H-M 'F -4 3 m'
_symmetry_Int_Tables_number 216
_symmetry_space_group_name_Hall 'F -4 2 3'
loop_
_atom_site_label
_atom_site_fract_x
_atom_site_fract_y
_atom_site_fract_z
In1 0.000 0.000 0.000
Ga1 0.250 0.250 0.750
Sn1 0.250 0.250 0.250
Sb1 0.000 0.000 0.500
```

Summary:
M_tot in Bohr magnetons per cell: 0.0
Uncorrected formation energy in meV/atom: 109
Theoretical density in g cm⁻³: 6.7

***

## SrC5 (GGA-PBE)

Data for a relaxed structure of SrC5.

CIF file:
```
data_SrC5
_cell_length_a 3.341
_cell_length_b 3.562
_cell_length_c 10.004
_cell_angle_alpha 90.00
_cell_angle_beta 90.00
_cell_angle_gamma 90.00
_symmetry_space_group_name_H-M 'A m m 2'
_symmetry_Int_Tables_number 38
loop_
_symmetry_equiv_pos_as_xyz
'x,y,z'
'-x,-y,z'
'-x,y,z'
'x,-y,z'
'x,y+1/2,z+1/2'
'-x,-y+1/2,z+1/2'
'-x,y+1/2,z+1/2'
'x,-y+1/2,z+1/2'
loop_
_atom_site_label
_atom_site_fract_x
_atom_site_fract_y
_atom_site_fract_z
Sr1 0.000 0.000 0.000
C1 0.000 0.000 0.273
C2 0.000 0.000 0.740
C3 0.500 0.000 0.211
C4 0.500 0.000 0.352
C5 0.500 0.000 0.715
```

Summary:
M_tot in Bohr magnetons per cell: 0.3
Energy of formation in meV/atom: 1851
Theoretical density in g cm⁻³: 4.1
Energy above the lowest structure with this stoichiometry in kJ/mol of formula units: 642.4

***

## Re2BAs (GGA-PBE)

Data for a relaxed structure of Re2BAs.

CIF file:
```
data_Re2BAs
_cell_length_a 4.355
_cell_length_b 4.355
_cell_length_c 13.631
_cell_angle_alpha 90.00
_cell_angle_beta 90.00
_cell_angle_gamma 90.00
_symmetry_space_group_name_H-M 'I -4 2 d'
_symmetry_Int_Tables_number 122
_symmetry_space_group_name_Hall 'I -4 2bw'
loop_
_atom_site_label
_atom_site_fract_x
_atom_site_fract_y
_atom_site_fract_z
Re1 0.164 0.250 0.125
B1 0.000 0.000 0.000
As1 0.000 0.000 0.500
```

Summary:
M_tot in Bohr magnetons per cell: 0.0
Energy of formation in meV/atom: 702
Theoretical density in g cm⁻³: 11.8
Energy above the lowest structure with this stoichiometry in kJ/mol of formula units: 76.6

***

## Hg2SbPd2 (GGA-PBE)

Data for a relaxed structure of Hg2SbPd2.

CIF file:
```
data_Hg2SbPd2
_cell_length_a 7.644
_cell_length_b 7.644
_cell_length_c 3.450
_cell_angle_alpha 90.00
_cell_angle_beta 90.00
_cell_angle_gamma 90.00
_symmetry_space_group_name_H-M 'P 4/m b m'
_symmetry_Int_Tables_number 127
_symmetry_space_group_name_Hall '-P 4 2ab'
loop_
_atom_site_label
_atom_site_fract_x
_atom_site_fract_y
_atom_site_fract_z
Hg1 0.152 0.348 0.000
Sb1 0.000 0.000 0.500
Pd1 0.146 0.646 0.500
```

Summary:
M_tot in Bohr magnetons per cell: 0.0
Uncorrected formation energy in meV/atom: -110
Theoretical density in g cm⁻³: 12.1
Energy above the lowest structure with this stoichiometry in kJ/mol of formula units: 0.0

***

## TlTc2As (GGA-PBE)

Data for a relaxed structure of TlTc2As.

CIF file:
```
data_TlTc2As
_cell_length_a 2.984
_cell_length_b 2.984
_cell_length_c 8.338
_cell_angle_alpha 90.00
_cell_angle_beta 90.00
_cell_angle_gamma 90.00
_symmetry_space_group_name_H-M 'P 4 m m'
_symmetry_Int_Tables_number 99
loop_
_symmetry_equiv_pos_as_xyz
'x,y,z'
'-y,x,z'
'-x,-y,z'
'y,-x,z'
'-x,y,z'
'y,x,z'
'x,-y,z'
'-y,-x,z'
loop_
_atom_site_label
_atom_site_fract_x
_atom_site_fract_y
_atom_site_fract_z
Tl1 0.000 0.000 0.000
Tc1 0.000 0.000 0.550
Tc2 0.500 0.500 0.739
As1 0.500 0.500 0.352
```

Summary:
M_tot in Bohr magnetons per cell: 0.0
Energy of formation in meV/atom: 178
Theoretical density in g cm⁻³: 10.6
Energy above the lowest structure with this stoichiometry in kJ/mol of formula units: 0.0

***

## LiPrMgAl (GGA-PBE)

Data for a relaxed structure of LiPrMgAl.

CIF file:
```
data_LiPrMgAl
_cell_length_a 7.132
_cell_length_b 7.132
_cell_length_c 7.132
_cell_angle_alpha 90.00
_cell_angle_beta 90.00
_cell_angle_gamma 90.00
_symmetry_space_group_name_H-M 'F -4 3 m'
_symmetry_Int_Tables_number 216
_symmetry_space_group_name_Hall 'F -4 2 3'
loop_
_atom_site_label
_atom_site_fract_x
_atom_site_fract_y
_atom_site_fract_z
Li1 0.000 0.000 0.000
Pr1 0.250 0.250 0.750
Mg1 0.250 0.250 0.250
Al1 0.000 0.000 0.500
```

Summary:
M_tot in Bohr magnetons per cell: 0.0
Energy of formation in meV/atom: -230
Theoretical density in g cm⁻³: 3.6

***

## ZrVNi (GGA-PBE)

Data for a relaxed structure of ZrVNi.

CIF file:
```
data_ZrVNi
_cell_length_a 4.565
_cell_length_b 3.173
_cell_length_c 6.739
_cell_angle_alpha 90.00
_cell_angle_beta 105.77
_cell_angle_gamma 90.00
_symmetry_space_group_name_H-M 'P 1 m 1'
_symmetry_Int_Tables_number 6
loop_
_symmetry_equiv_pos_as_xyz
'x,y,z'
'x,-y,z'
loop_
_atom_site_label
_atom_site_fract_x
_atom_site_fract_y
_atom_site_fract_z
Zr1 0.000 0.000 0.000
Zr2 0.348 0.000 0.647
V1 0.515 0.500 0.036
V2 0.648 0.000 0.322
Ni1 0.117 0.500 0.328
Ni2 0.865 0.500 0.649
```

Summary:
M_tot in Bohr magnetons per cell: 0.0
Energy of formation in meV/atom: -61
Theoretical density in g cm⁻³: 7.1
Energy above the lowest structure with this stoichiometry in kJ/mol of formula units: 52.3

***

## SiOs2Pb (GGA-PBE)

Data for a relaxed structure of SiOs2Pb.

CIF file:
```
data_SiOs2Pb
_cell_length_a 3.970
_cell_length_b 3.970
_cell_length_c 8.348
_cell_angle_alpha 90.00
_cell_angle_beta 90.00
_cell_angle_gamma 90.00
_symmetry_space_group_name_H-M 'I -4 m 2'
_symmetry_Int_Tables_number 119
_symmetry_space_group_name_Hall 'I -4 -2'
loop_
_atom_site_label
_atom_site_fract_x
_atom_site_fract_y
_atom_site_fract_z
Si1 0.000 0.000 0.000
Os1 0.000 0.000 0.500
Os2 0.000 0.500 0.750
Pb1 0.000 0.500 0.250
```

Summary:
M_tot in Bohr magnetons per cell: 0.0
Uncorrected formation energy in meV/atom: 970
Theoretical density in g cm⁻³: 15.5
Energy above the lowest structure with this stoichiometry in kJ/mol of formula units: 237.2

***

## BaHgSe2 (GGA-PBE)

Data for a relaxed structure of BaHgSe2.

CIF file:
```
data_BaHgSe2
_cell_length_a 4.006
_cell_length_b 4.235
_cell_length_c 14.310
_cell_angle_alpha 90.00
_cell_angle_beta 90.00
_cell_angle_gamma 90.00
_symmetry_space_group_name_H-M 'I m m 2'
_symmetry_Int_Tables_number 44
loop_
_symmetry_equiv_pos_as_xyz
'x,y,z'
'-x,-y,z'
'-x,y,z'
'x,-y,z'
'x+1/2,y+1/2,z+1/2'
'-x+1/2,-y+1/2,z+1/2'
'-x+1/2,y+1/2,z+1/2'
'x+1/2,-y+1/2,z+1/2'
loop_
_atom_site_label
_atom_site_fract_x
_atom_site_fract_y
_atom_site_fract_z
Ba1 0.000 0.000 0.000
Hg1 0.000 0.500 0.750
Se1 0.000 0.000 0.401
Se2 0.000 0.500 0.179
```

Summary:
M_tot in Bohr magnetons per cell: 0.0
Uncorrected formation energy in meV/atom: -830
Theoretical density in g cm⁻³: 6.8

***

## NaSrTlRh (GGA-PBE)

Data for a relaxed structure of NaSrTlRh.

CIF file:
```
data_NaSrTlRh
_cell_length_a 7.231
_cell_length_b 7.231
_cell_length_c 7.231
_cell_angle_alpha 90.00
_cell_angle_beta 90.00
_cell_angle_gamma 90.00
_symmetry_space_group_name_H-M 'F -4 3 m'
_symmetry_Int_Tables_number 216
_symmetry_space_group_name_Hall 'F -4 2 3'
loop_
_atom_site_label
_atom_site_fract_x
_atom_site_fract_y
_atom_site_fract_z
Na1 0.000 0.000 0.000
Sr1 0.250 0.250 0.250
Tl1 0.250 0.250 0.750
Rh1 0.000 0.000 0.500
```

Summary:
M_tot in Bohr magnetons per cell: 0.0
Energy of formation in meV/atom: -69
Theoretical density in g cm⁻³: 7.3

***

## PaV2Ru (GGA-PBE)

Data for a relaxed structure of PaV2Ru.

CIF file:
```
data_PaV2Ru
_cell_length_a 3.771
_cell_length_b 3.771
_cell_length_c 4.815
_cell_angle_alpha 90.00
_cell_angle_beta 90.00
_cell_angle_gamma 90.00
_symmetry_space_group_name_H-M 'P 4/m m m'
_symmetry_Int_Tables_number 123
_symmetry_space_group_name_Hall '-P 4 2'
loop_
_atom_site_label
_atom_site_fract_x
_atom_site_fract_y
_atom_site_fract_z
Pa1 0.000 0.000 0.000
V1 0.000 0.500 0.500
Ru1 0.500 0.500 0.000
```

Summary:
M_tot in Bohr magnetons per cell: 0.0
Energy of formation in meV/atom: 10
Theoretical density in g cm⁻³: 10.5
Energy above the lowest structure with this stoichiometry in kJ/mol of formula units: 0.0

***

## ZrTlSb2 (GGA-PBE)

Data for a relaxed structure of ZrTlSb2.

CIF file:
```
data_ZrTlSb2
_cell_length_a 4.234
_cell_length_b 5.293
_cell_length_c 9.698
_cell_angle_alpha 90.00
_cell_angle_beta 90.00
_cell_angle_gamma 90.00
_symmetry_space_group_name_H-M 'C m m m'
_symmetry_Int_Tables_number 65
_symmetry_space_group_name_Hall '-C 2 2'
loop_
_atom_site_label
_atom_site_fract_x
_atom_site_fract_y
_atom_site_fract_z
Zr1 0.000 0.000 0.000
Tl1 0.000 0.000 0.500
Sb1 0.000 0.500 0.213
```

Summary:
M_tot in Bohr magnetons per cell: 0.0
Uncorrected formation energy in meV/atom: -281
Theoretical density in g cm⁻³: 8.2
Energy above the lowest structure with this stoichiometry in kJ/mol of formula units: 0.0

***

## NbCrC2 (GGA-PBE)

Data for a relaxed structure of NbCrC2.

CIF file:
```
data_NbCrC2
_cell_length_a 4.585
_cell_length_b 4.585
_cell_length_c 9.385
_cell_angle_alpha 90.00
_cell_angle_beta 90.00
_cell_angle_gamma 90.00
_symmetry_space_group_name_H-M 'I -4 2 d'
_symmetry_Int_Tables_number 122
_symmetry_space_group_name_Hall 'I -4 2bw'
loop_
_atom_site_label
_atom_site_fract_x
_atom_site_fract_y
_atom_site_fract_z
Nb1 0.000 0.000 0.000
Cr1 0.000 0.000 0.500
C1 0.213 0.250 0.625
```

Summary:
M_tot in Bohr magnetons per cell: 0.0
Energy of formation in meV/atom: 333
Theoretical density in g cm⁻³: 5.7

***

## LiPmAl2 (GGA-PBE)

Data for a relaxed structure of LiPmAl2.

CIF file:
```
data_LiPmAl2
_cell_length_a 3.401
_cell_length_b 3.401
_cell_length_c 7.117
_cell_angle_alpha 90.00
_cell_angle_beta 90.00
_cell_angle_gamma 90.00
_symmetry_space_group_name_H-M 'P 4/m m m'
_symmetry_Int_Tables_number 123
_symmetry_space_group_name_Hall '-P 4 2'
loop_
_atom_site_label
_atom_site_fract_x
_atom_site_fract_y
_atom_site_fract_z
Li1 0.000 0.000 0.000
Pm1 0.000 0.000 0.500
Al1 0.500 0.500 0.196
```

Summary:
M_tot in Bohr magnetons per cell: 0.0
Energy of formation in meV/atom: -244
Theoretical density in g cm⁻³: 4.2

***

## SrLi2GaPd (GGA-PBE)

Data for a relaxed structure of SrLi2GaPd.

CIF file:
```
data_SrLi2GaPd
_cell_length_a 4.851
_cell_length_b 4.851
_cell_length_c 4.881
_cell_angle_alpha 90.00
_cell_angle_beta 90.00
_cell_angle_gamma 90.00
_symmetry_space_group_name_H-M 'P 4/m m m'
_symmetry_Int_Tables_number 123
_symmetry_space_group_name_Hall '-P 4 2'
loop_
_atom_site_label
_atom_site_fract_x
_atom_site_fract_y
_atom_site_fract_z
Sr1 0.000 0.000 0.000
Li1 0.000 0.500 0.500
Ga1 0.500 0.500 0.500
Pd1 0.500 0.500 0.000
```

Summary:
M_tot in Bohr magnetons per cell: 0.0
Energy of formation in meV/atom: -270
Theoretical density in g cm⁻³: 4.0
Energy above the lowest structure with this stoichiometry in kJ/mol of formula units: 32.0

***

## Rb2HfOs (GGA-PBE)

Data for a relaxed structure of Rb2HfOs.

CIF file:
```
data_Rb2HfOs
_cell_length_a 7.708
_cell_length_b 7.708
_cell_length_c 7.708
_cell_angle_alpha 90.00
_cell_angle_beta 90.00
_cell_angle_gamma 90.00
_symmetry_space_group_name_H-M 'F m -3 m'
_symmetry_Int_Tables_number 225
_symmetry_space_group_name_Hall '-F 4 2 3'
loop_
_atom_site_label
_atom_site_fract_x
_atom_site_fract_y
_atom_site_fract_z
Rb1 0.250 0.250 0.250
Hf1 0.000 0.000 0.000
Os1 0.000 0.000 0.500
```

Summary:
M_tot in Bohr magnetons per cell: 0.0
Energy of formation in meV/atom: 2354
Theoretical density in g cm⁻³: 7.8
Energy above the lowest structure with this stoichiometry in kJ/mol of formula units: 413.8